P.
# AsH3Se

AsH3Se after structural relaxation (PBE, Alexandria).

Unit cell a=3.726 b=3.726 c=3.726 alpha=90.00 beta=90.00 gamma=90.00
Space group Pm-3m (No. 221)
Symmetry-distinct sites (fractional):
As1 0.000 0.000 0.000 [1 per cell]
H1 0.000 0.000 0.500 [3 per cell]
Se1 0.500 0.500 0.500 [1 per cell]

Computed properties:
As for the size of the total moment: 0.0 μB/f.u.

***

Q.
# AsH3Se

AsH3Se after structural relaxation (PBE, Alexandria).

Unit cell a=3.751 b=3.751 c=3.751 alpha=90.00 beta=90.00 gamma=90.00
Space group Pm-3m (No. 221)
Symmetry-distinct sites (fractional):
As1 0.000 0.000 0.000 [1 per cell]
H1 0.000 0.500 0.500 [3 per cell]
Se1 0.500 0.500 0.500 [1 per cell]

Computed properties:
As for the size of the total moment: 0.0 μB/f.u.

***

Quick one: least stable of them? Q

***

P.
# AsHSe3

AsHSe3 after structural relaxation (PBE, Alexandria).

Unit cell a=10.414 b=14.813 c=6.347 alpha=90.00 beta=99.50 gamma=90.00
Space group C2/c (No. 15)
Symmetry-distinct sites (fractional):
As1 0.000 0.115 0.250 [4 per cell]
As2 0.000 0.240 0.750 [4 per cell]
H1 0.078 0.415 0.057 [8 per cell]
Se1 0.122 0.096 0.895 [8 per cell]
Se2 0.122 0.251 0.394 [8 per cell]
Se3 0.132 0.411 0.854 [8 per cell]

Computed properties:
As for the size of the total moment: 0.0 μB/f.u.

***

Q.
# AsHSe3

AsHSe3 after structural relaxation (PBE, Alexandria).

Unit cell a=4.381 b=4.381 c=4.381 alpha=90.00 beta=90.00 gamma=90.00
Space group Pm-3m (No. 221)
Symmetry-distinct sites (fractional):
As1 0.000 0.000 0.000 [1 per cell]
H1 0.500 0.500 0.500 [1 per cell]
Se1 0.000 0.500 0.500 [3 per cell]

Computed properties:
As for the size of the total moment: 0.0 μB/f.u.

***

R.
# AsHSe3

AsHSe3 after structural relaxation (PBE, Alexandria).

Unit cell a=5.090 b=5.090 c=5.090 alpha=90.00 beta=90.00 gamma=90.00
Space group Pm-3m (No. 221)
Symmetry-distinct sites (fractional):
As1 0.000 0.000 0.000 [1 per cell]
H1 0.500 0.500 0.500 [1 per cell]
Se1 0.000 0.000 0.500 [3 per cell]

Computed properties:
As for the size of the total moment: 0.1 μB/f.u.

***

Quick one: least stable of them? R

***

P.
# SnAsHSe2

SnAsHSe2 after structural relaxation (PBE, Alexandria).

Unit cell a=5.174 b=5.174 c=3.532 alpha=90.00 beta=90.00 gamma=90.00
Space group P4/mmm (No. 123)
Symmetry-distinct sites (fractional):
Sn1 0.000 0.000 0.000 [1 per cell]
As1 0.500 0.500 0.000 [1 per cell]
H1 0.500 0.500 0.500 [1 per cell]
Se1 0.000 0.500 0.500 [2 per cell]

Computed properties:
As for the size of the total moment: 0.0 μB/f.u.

***

Q.
# SnAsHSe2

SnAsHSe2 after structural relaxation (PBE, Alexandria).

Unit cell a=5.365 b=5.365 c=5.412 alpha=90.00 beta=90.00 gamma=90.00
Space group P4/mmm (No. 123)
Symmetry-distinct sites (fractional):
Sn1 0.000 0.000 0.000 [1 per cell]
As1 0.000 0.000 0.500 [1 per cell]
H1 0.500 0.500 0.500 [1 per cell]
Se1 0.000 0.500 0.000 [2 per cell]

Computed properties:
As for the size of the total moment: 2.3 μB/f.u.

***

Quick one: least stable of them? Q

***

P.
# SrAsHSe2

SrAsHSe2 after structural relaxation (PBE, Alexandria).

Unit cell a=5.890 b=5.890 c=5.964 alpha=90.00 beta=90.00 gamma=90.00
Space group P4/mmm (No. 123)
Symmetry-distinct sites (fractional):
Sr1 0.000 0.000 0.000 [1 per cell]
As1 0.000 0.000 0.500 [1 per cell]
H1 0.500 0.500 0.500 [1 per cell]
Se1 0.000 0.500 0.000 [2 per cell]

Computed properties:
As for the size of the total moment: 2.5 μB/f.u.

***

Q.
# SrAsHSe2

SrAsHSe2 after structural relaxation (PBE, Alexandria).

Unit cell a=5.197 b=5.197 c=3.728 alpha=90.00 beta=90.00 gamma=90.00
Space group P4/mmm (No. 123)
Symmetry-distinct sites (fractional):
Sr1 0.000 0.000 0.000 [1 per cell]
As1 0.500 0.500 0.000 [1 per cell]
H1 0.500 0.500 0.500 [1 per cell]
Se1 0.000 0.500 0.500 [2 per cell]

Computed properties:
As for the size of the total moment: 0.0 μB/f.u.

***

Quick one: least stable of them? P

***

P.
# TcAsHSe2

TcAsHSe2 after structural relaxation (PBE, Alexandria).

Unit cell a=4.907 b=4.907 c=4.823 alpha=90.00 beta=90.00 gamma=90.00
Space group P4/mmm (No. 123)
Symmetry-distinct sites (fractional):
Tc1 0.000 0.000 0.000 [1 per cell]
As1 0.000 0.000 0.500 [1 per cell]
H1 0.500 0.500 0.500 [1 per cell]
Se1 0.000 0.500 0.000 [2 per cell]

Computed properties:
As for the size of the total moment: 0.3 μB/f.u.

***

Q.
# TcAsHSe2

TcAsHSe2 after structural relaxation (PBE, Alexandria).

Unit cell a=4.661 b=4.661 c=3.407 alpha=90.00 beta=90.00 gamma=90.00
Space group P4/mmm (No. 123)
Symmetry-distinct sites (fractional):
Tc1 0.000 0.000 0.000 [1 per cell]
As1 0.500 0.500 0.000 [1 per cell]
H1 0.500 0.500 0.500 [1 per cell]
Se1 0.000 0.500 0.500 [2 per cell]

Computed properties:
As for the size of the total moment: 0.0 μB/f.u.

***

Quick one: least stable of them? P

***

P.
# TeAs2HSe

TeAs2HSe after structural relaxation (PBE, Alexandria).

Unit cell a=4.081 b=4.081 c=5.777 alpha=90.00 beta=90.00 gamma=90.00
Space group P4/mmm (No. 123)
Symmetry-distinct sites (fractional):
Te1 0.000 0.000 0.000 [1 per cell]
As1 0.000 0.500 0.500 [2 per cell]
H1 0.500 0.500 0.500 [1 per cell]
Se1 0.500 0.500 0.000 [1 per cell]

Computed properties:
As for the size of the total moment: 0.0 μB/f.u.

***

Q.
# TeAs2HSe

TeAs2HSe after structural relaxation (PBE, Alexandria).

Unit cell a=5.462 b=5.462 c=5.468 alpha=90.00 beta=90.00 gamma=90.00
Space group P4/mmm (No. 123)
Symmetry-distinct sites (fractional):
Te1 0.000 0.000 0.000 [1 per cell]
As1 0.000 0.500 0.000 [2 per cell]
H1 0.500 0.500 0.500 [1 per cell]
Se1 0.000 0.000 0.500 [1 per cell]

Computed properties:
As for the size of the total moment: 2.7 μB/f.u.

***

Quick one: least stable of them? Q